TbBiPdAu: optimized geometry, PBE-GGA.

Unit cell a=5.0136 b=5.0136 c=5.0136 alpha=60.00 beta=60.00 gamma=60.00
Closest atoms and distances in Å follow each position.
Sites, in units of the cell vectors:
Tb: 0.2500 0.2500 0.2500  4 Au 3.07, 4 Pd 3.07
Au: 0.0000 0.0000 0.0000  4 Bi 3.07, 4 Tb 3.07
Bi: 0.7500 0.7500 0.7500  4 Pd 3.07, 4 Au 3.07
Pd: 0.5000 0.5000 0.5000  4 Tb 3.07, 4 Bi 3.07

Results
- DOS at the Fermi energy (states/eV per cell) = 2.9
- energy relative to the elements (meV per atom) = -633
- SG = F-43m (216)
- M_tot (μB per atom) = 0.0000
- electronic total energy (eV per cell) = -19.5